Entry 1:
Density functional theory data (PBE) for a relaxed LiPa4HgN8 crystal.

- E: -8.6530 eV/atom
- Energy relative to the elements, uncorrected: -1024 meV/atom

a = 7.1681 Å, b = 7.1681 Å, c = 14.4837 Å
α = 90.00°, β = 90.00°, γ = 120.00°
Space group R3m (No. 160, hexagonal axes)
Inequivalent atoms, fractional coordinates:
Li  0.0000  0.0000  0.0000 [3 per cell]
Pa  0.0000  0.0000  0.5905 [3 per cell]
Pa  0.0054  0.5027  0.5100 [9 per cell]
Hg  0.0000  0.0000  0.3800 [3 per cell]
N  0.0000  0.0000  0.2356 [3 per cell]
N  0.0000  0.0000  0.7643 [3 per cell]
N  0.1795  0.3591  0.1390 [9 per cell]
N  0.1849  0.3698  0.5978 [9 per cell]


Entry 2:
Density functional theory data (PBE) for a relaxed LiCaIr2 crystal.

- Energy relative to the lowest polymorph listed for this composition: 0.119 eV per atom
- E: -5.4152 eV/atom
- Formation enthalpy at 0 K: -5.9 meV per atom

a = 3.892 Å, b = 3.892 Å, c = 8.802 Å
α = 90.00°, β = 90.00°, γ = 90.00°
Space group I4/mmm (No. 139)
Inequivalent atoms, fractional coordinates:
Li  0.000  0.000  0.000 [2 per cell]
Ca  0.000  0.000  0.500 [2 per cell]
Ir  0.000  0.500  0.250 [4 per cell]


Entry 3:
Density functional theory data (PBE) for a relaxed LiTaOs2 crystal.

- E: -8.7456 eV/atom
- Formation enthalpy at 0 K: 310.9 meV per atom

a = 3.184 Å, b = 3.184 Å, c = 5.738 Å
α = 90.00°, β = 90.00°, γ = 90.00°
Space group P4mm (No. 99)
Inequivalent atoms, fractional coordinates:
Li  0.000  0.000  0.000 [1 per cell]
Ta  0.500  0.500  0.741 [1 per cell]
Os  0.000  0.000  0.490 [1 per cell]
Os  0.500  0.500  0.188 [1 per cell]


Entry 4:
Density functional theory data (PBE) for a relaxed Zr2TcP crystal.

- E: -8.5545 eV/atom
- Formation enthalpy at 0 K: -336.5 meV per atom

a = 3.512 Å, b = 3.512 Å, c = 5.831 Å
α = 90.00°, β = 90.00°, γ = 90.00°
Space group P4mm (No. 99)
Inequivalent atoms, fractional coordinates:
Zr  0.000  0.000  0.000 [1 per cell]
Zr  0.500  0.500  0.311 [1 per cell]
Tc  0.500  0.500  0.765 [1 per cell]
P  0.000  0.000  0.501 [1 per cell]